Entry 1:
A plane-wave DFT calculation with PBE-GGA was carried out for a geometry-optimized Nd6YTh structure.

Computed properties:
Energy relative to the elements = 0.0388 eV/atom

Unit cell a=5.1643 b=5.1643 c=10.3266 alpha=90.00 beta=90.00 gamma=90.00
Fractional positions:
1 Th 0.0000 0.0000 0.5000
2 Nd 0.5000 0.5000 0.5000
3 Nd 0.5000 0.5000 0.0000
4 Nd 0.5000 0.0000 0.7470
5 Nd 0.0000 0.5000 0.2530
6 Nd 0.0000 0.5000 0.7470
7 Nd 0.5000 0.0000 0.2530
8 Y 0.0000 0.0000 0.0000

***

Entry 2:
A plane-wave DFT calculation with PBE-GGA was carried out for a geometry-optimized NbCu2Ag3Se6 structure.

Computed properties:
Formation energy from raw total energies = -0.1511 eV per atom

Unit cell a=6.4493 b=6.4493 c=6.8436 alpha=99.39 beta=99.39 gamma=114.33
Fractional positions:
1 Se 0.6201 0.9557 0.7584
2 Se 0.9557 0.6201 0.7584
3 Se 0.7012 0.7012 0.1836
4 Se 0.0443 0.3799 0.2416
5 Se 0.2988 0.2988 0.8164
6 Se 0.3799 0.0443 0.2416
7 Cu 0.3198 0.6802 0.0000
8 Cu 0.6802 0.3198 0.0000
9 Ag 0.1397 0.8603 0.5000
10 Ag 0.5000 0.5000 0.5000
11 Ag 0.8603 0.1397 0.5000
12 Nb 0.0000 0.0000 0.0000

***

Entry 3:
A plane-wave DFT calculation with PBE-GGA was carried out for a geometry-optimized HfPaO5 structure.

Computed properties:
Formation energy from raw total energies = -3.0735 eV per atom

Unit cell a=3.9462 b=5.6748 c=5.6744 alpha=72.99 beta=69.66 gamma=69.66
Each line ends with the local moment (μB).
Fractional positions:
1 Hf 0.0000 0.0000 0.0000  -0.01
2 O 0.0000 0.3110 0.6890  0.15
3 O 0.7441 0.2560 0.2560  0.15
4 O 0.2559 0.7440 0.7440  0.15
5 O 0.5000 0.0000 0.0000  0.22
6 O 0.0000 0.6890 0.3110  0.15
7 Pa 0.5000 0.5000 0.5000  -0.01

***

Entry 4:
A plane-wave DFT calculation with PBE-GGA was carried out for a geometry-optimized CsInBP2 structure.

Computed properties:
Energy relative to the elements = 0.7798 eV/atom

Unit cell a=4.6272 b=5.3092 c=4.6272 alpha=90.00 beta=90.00 gamma=90.00
Fractional positions:
1 P 0.0000 0.0000 0.5000
2 P 0.5000 0.0000 0.0000
3 Cs 0.5000 0.5000 0.5000
4 In 0.0000 0.5000 0.0000
5 B 0.0000 0.0000 0.0000

***

Entry 5:
A plane-wave DFT calculation with PBE-GGA was carried out for a geometry-optimized La3In2Sn structure.

Computed properties:
Energy relative to the elements = -0.5937 eV/atom

Unit cell a=5.5830 b=5.5830 c=6.8647 alpha=90.00 beta=90.00 gamma=120.00
Fractional positions:
1 La 0.3333 0.6667 0.1438
2 La 0.6667 0.3333 0.8562
3 La 0.0000 0.0000 0.5000
4 Sn 0.0000 0.0000 0.0000
5 In 0.6667 0.3333 0.3570
6 In 0.3333 0.6667 0.6430

***

Entry 6:
A plane-wave DFT calculation with PBE-GGA was carried out for a geometry-optimized CeGa6Au12 structure.

Computed properties:
Energy relative to the elements = -0.1977 eV/atom

Unit cell a=7.5623 b=7.5623 c=7.5623 alpha=105.58 beta=105.58 gamma=105.58
Each line ends with the local moment (μB).
Fractional positions:
1 Au 0.6206 0.8652 0.6206  0.00
2 Au 0.1188 0.5000 0.8812  0.00
3 Au 0.8812 0.1188 0.5000  0.00
4 Au 0.6206 0.6206 0.8652  0.00
5 Au 0.3794 0.3794 0.1348  0.00
6 Au 0.3794 0.1348 0.3794  0.00
7 Au 0.8652 0.6206 0.6206  0.00
8 Au 0.1188 0.8812 0.5000  0.00
9 Au 0.5000 0.8812 0.1188  0.00
10 Au 0.8812 0.5000 0.1188  0.00
11 Au 0.1348 0.3794 0.3794  0.00
12 Au 0.5000 0.1188 0.8812  0.00
13 Ga 0.2776 0.6954 0.2776  0.00
14 Ga 0.6954 0.2776 0.2776  0.00
15 Ga 0.2776 0.2776 0.6954  0.00
16 Ga 0.7224 0.3046 0.7224  0.00
17 Ga 0.3046 0.7224 0.7224  0.00
18 Ga 0.7224 0.7224 0.3046  0.00
19 Ce 0.0000 0.0000 0.0000  1.02

***

Entry 7:
A plane-wave DFT calculation with PBE-GGA was carried out for a geometry-optimized Os2PtRhW structure.

Computed properties:
Energy relative to the elements = 2.2906 eV/atom

Unit cell a=4.6215 b=4.6072 c=4.6215 alpha=90.00 beta=90.00 gamma=90.00
Fractional positions:
1 Os 0.5000 0.0000 0.0000
2 Os 0.0000 0.0000 0.5000
3 Rh 0.0000 0.0000 0.0000
4 Pt 0.5000 0.5000 0.5000
5 W 0.0000 0.5000 0.0000

***

Entry 8:
A plane-wave DFT calculation with PBE-GGA was carried out for a geometry-optimized SrPmPd structure.

Computed properties:
Excess energy over the best structure of this formula in the dataset = 0.025 eV/atom
Energy relative to the elements = -0.4247 eV/atom

Unit cell a=3.7180 b=3.7180 c=7.2811 alpha=104.79 beta=104.79 gamma=90.00
Fractional positions:
1 Pd 0.6824 0.6824 0.3649
2 Sr 0.0292 0.0292 0.0584
3 Pm 0.2884 0.2884 0.5768

***

Entry 9:
A plane-wave DFT calculation with PBE-GGA was carried out for a geometry-optimized ThH8Pd6 structure.

Computed properties:
VASP energy = -68.9 eV/cell

Unit cell a=5.3843 b=5.3843 c=5.3843 alpha=97.72 beta=97.72 gamma=97.72
Fractional positions:
1 H 0.1934 0.7881 0.3778
2 H 0.3778 0.1934 0.7881
3 H 0.7881 0.3778 0.1934
4 H 0.6921 0.6921 0.6921
5 H 0.6222 0.8066 0.2119
6 H 0.3079 0.3079 0.3079
7 H 0.2119 0.6222 0.8066
8 H 0.8066 0.2119 0.6222
9 Th 0.0000 0.0000 0.0000
10 Pd 0.4122 0.8668 0.6907
11 Pd 0.3093 0.5878 0.1332
12 Pd 0.8668 0.6907 0.4122
13 Pd 0.1332 0.3093 0.5878
14 Pd 0.5878 0.1332 0.3093
15 Pd 0.6907 0.4122 0.8668

***

Entry 10:
A plane-wave DFT calculation with PBE-GGA was carried out for a geometry-optimized NaSr4Tb3Se8 structure.

Computed properties:
Formation energy from raw total energies = -1.8795 eV per atom

Unit cell a=8.5294 b=8.5738 c=8.5300 alpha=119.83 beta=120.00 gamma=90.00
Fractional positions:
1 Tb 0.0000 0.5000 0.5000
2 Tb 0.5000 0.5000 0.0000
3 Tb 0.5000 0.5000 0.5000
4 Se 0.2624 0.2685 0.0155
5 Se 0.7437 0.7311 0.4874
6 Se 0.2563 0.2689 0.5126
7 Se 0.7530 0.2685 0.0155
8 Se 0.2471 0.7317 0.4942
9 Se 0.7376 0.7315 0.9845
10 Se 0.2470 0.7315 0.9845
11 Se 0.7529 0.2683 0.5058
12 Na 0.0000 0.5000 0.0000
13 Sr 0.0000 0.0000 0.0000
14 Sr 0.5000 0.0000 0.5000
15 Sr 0.5000 0.0000 0.0000
16 Sr 0.0000 0.0000 0.5000

***

Entry 11:
A plane-wave DFT calculation with PBE-GGA was carried out for a geometry-optimized InSi2Rh2 structure.

Computed properties:
Formation energy from raw total energies = -0.3649 eV per atom

Unit cell a=7.3919 b=7.3919 c=2.8197 alpha=90.00 beta=90.00 gamma=90.00
Fractional positions:
1 Rh 0.3582 0.8582 0.0000
2 Rh 0.8582 0.6418 0.0000
3 Rh 0.1418 0.3582 0.0000
4 Rh 0.6418 0.1418 0.0000
5 Si 0.8543 0.3543 0.5000
6 Si 0.6457 0.8543 0.5000
7 Si 0.3543 0.1457 0.5000
8 Si 0.1457 0.6457 0.5000
9 In 0.5000 0.5000 0.0000
10 In 0.0000 0.0000 0.0000

***

Entry 12:
A plane-wave DFT calculation with PBE-GGA was carried out for a geometry-optimized Sb2TeAsIr structure.

Computed properties:
Excess energy over the best structure of this formula in the dataset = 0.000 eV/atom
Formation energy from raw total energies = 0.6179 eV per atom

Unit cell a=5.0825 b=5.0825 c=5.4442 alpha=90.00 beta=90.00 gamma=90.00
Fractional positions:
1 Sb 0.5000 0.0000 0.0000
2 Sb 0.0000 0.5000 0.0000
3 As 0.5000 0.5000 0.5000
4 Te 0.0000 0.0000 0.5000
5 Ir 0.0000 0.0000 0.0000

***

no.,total magnetic moment (μB per cell)
1,0.00
2,0.00
3,0.96
4,0.00
5,0.00
6,1.11
7,0.00
8,0.00
9,0.00
10,0.00
11,0.00
12,0.00